(1)
Below is a relaxed LiLaIn3 crystal, with properties calculated at the PBE-GGA level.

Lattice parameters (Å, degrees): 6.090 6.090 6.090 90.00 90.00 90.00
Element x y z (fractional)
In 0.000 0.500 0.000
In 0.000 0.000 0.500
In 0.500 0.000 0.000
Li 0.500 0.500 0.500
La 0.000 0.000 0.000

Output
Density of states at the Fermi level   0.89 states/eV per atom
Final energy   -2.442 eV/atom
Space-group type   Pm-3m (221)


(2)
Below is a relaxed LiLaIn3 crystal, with properties calculated at the PBE-GGA level.

Lattice parameters (Å, degrees): 5.026 5.026 5.026 90.00 90.00 90.00
Element x y z (fractional)
In 0.000 0.500 0.000
In 0.000 0.000 0.500
In 0.500 0.000 0.000
Li 0.000 0.000 0.000
La 0.500 0.500 0.500

Output
Density of states at the Fermi level   0.78 states/eV per atom
Final energy   -3.256 eV/atom
Space-group type   Pm-3m (221)


(3)
Below is a relaxed LiLaIn2 crystal, with properties calculated at the PBE-GGA level.

Lattice parameters (Å, degrees): 5.458 5.458 5.980 76.70 76.70 39.03
Element x y z (fractional)
In 0.000 0.000 0.030
In 0.736 0.736 0.789
La 0.494 0.494 0.508
Li 0.270 0.270 0.174

Output
Density of states at the Fermi level   0.68 states/eV per atom
Final energy   -3.327 eV/atom
Space-group type   Cm (8)


What is the density of states at the Fermi level in the second record?
0.78 states/eV per atom


Among the records above, which one has the lowest final energy?
LiLaIn2


Copy entry 2 word for word.
Below is a relaxed LiLaIn3 crystal, with properties calculated at the PBE-GGA level.

Lattice parameters (Å, degrees): 5.026 5.026 5.026 90.00 90.00 90.00
Element x y z (fractional)
In 0.000 0.500 0.000
In 0.000 0.000 0.500
In 0.500 0.000 0.000
Li 0.000 0.000 0.000
La 0.500 0.500 0.500

Output
Density of states at the Fermi level   0.78 states/eV per atom
Final energy   -3.256 eV/atom
Space-group type   Pm-3m (221)